Entry 1:
{"formula": "HfTaGeRh2", "functional": "PBE", "state": "relaxed", "lattice_angstrom": [[4.671, 0.000, 0.000], [0.000, 4.671, 0.000], [0.000, 0.000, 5.168]], "species": ["Hf", "Ta", "Ge", "Rh", "Rh"], "frac_coords": [[0.000, 0.000, 0.000], [0.000, 0.000, 0.500], [0.500, 0.500, 0.500], [0.000, 0.500, 0.000], [0.500, 0.000, 0.000]], "space_group": "P4/mmm (123)"}

=====

Entry 2:
{"formula": "Tb2HfGe2Rh5", "functional": "PBE", "state": "relaxed", "lattice_angstrom": [[9.840, 0.000, 0.000], [0.000, 9.840, 0.000], [0.000, 0.000, 3.640]], "species": ["Tb", "Tb", "Tb", "Tb", "Hf", "Hf", "Ge", "Ge", "Ge", "Ge", "Rh", "Rh", "Rh", "Rh", "Rh", "Rh", "Rh", "Rh", "Rh", "Rh"], "frac_coords": [[0.173, 0.327, 0.000], [0.327, 0.827, 0.000], [0.673, 0.173, 0.000], [0.827, 0.673, 0.000], [0.000, 0.000, 0.000], [0.500, 0.500, 0.000], [0.124, 0.624, 0.000], [0.376, 0.124, 0.000], [0.624, 0.876, 0.000], [0.876, 0.376, 0.000], [0.000, 0.500, 0.500], [0.067, 0.791, 0.500], [0.209, 0.067, 0.500], [0.291, 0.567, 0.500], [0.433, 0.291, 0.500], [0.500, 0.000, 0.500], [0.567, 0.709, 0.500], [0.709, 0.433, 0.500], [0.791, 0.933, 0.500], [0.933, 0.209, 0.500]], "space_group": "P4/mbm (127)"}

=====

Entry 3:
{"formula": "HfTh2Ge3Rh4", "functional": "PBE", "state": "relaxed", "lattice_angstrom": [[4.169, 0.000, 0.000], [0.000, 4.169, 0.000], [0.000, 0.000, 11.015]], "species": ["Hf", "Th", "Th", "Ge", "Ge", "Ge", "Rh", "Rh", "Rh", "Rh"], "frac_coords": [[0.000, 0.000, 0.000], [0.000, 0.500, 0.733], [0.500, 0.000, 0.267], [0.000, 0.500, 0.374], [0.500, 0.000, 0.626], [0.500, 0.500, 0.000], [0.000, 0.000, 0.500], [0.000, 0.500, 0.148], [0.500, 0.000, 0.852], [0.500, 0.500, 0.500]], "space_group": "P-4m2 (115)"}

=====

Entry 4:
{"formula": "HfThGe2Rh5", "functional": "PBE", "state": "relaxed", "lattice_angstrom": [[4.022, 0.000, 0.000], [0.000, 4.022, 0.000], [0.000, 0.000, 11.121]], "species": ["Hf", "Th", "Ge", "Ge", "Rh", "Rh", "Rh", "Rh", "Rh"], "frac_coords": [[0.000, 0.000, 0.000], [0.000, 0.000, 0.500], [0.500, 0.500, 0.282], [0.500, 0.500, 0.718], [0.000, 0.500, 0.160], [0.000, 0.500, 0.840], [0.500, 0.000, 0.160], [0.500, 0.000, 0.840], [0.500, 0.500, 0.500]], "space_group": "P4/mmm (123)"}

=====

Entry 5:
{"formula": "Tm2HfGe2Rh5", "functional": "PBE", "state": "relaxed", "lattice_angstrom": [[9.746, 0.000, 0.000], [0.000, 9.746, 0.000], [0.000, 0.000, 3.633]], "species": ["Tm", "Tm", "Tm", "Tm", "Hf", "Hf", "Ge", "Ge", "Ge", "Ge", "Rh", "Rh", "Rh", "Rh", "Rh", "Rh", "Rh", "Rh", "Rh", "Rh"], "frac_coords": [[0.173, 0.327, 0.000], [0.327, 0.827, 0.000], [0.673, 0.173, 0.000], [0.827, 0.673, 0.000], [0.000, 0.000, 0.000], [0.500, 0.500, 0.000], [0.125, 0.625, 0.000], [0.375, 0.125, 0.000], [0.625, 0.875, 0.000], [0.875, 0.375, 0.000], [0.000, 0.500, 0.500], [0.068, 0.791, 0.500], [0.209, 0.068, 0.500], [0.291, 0.568, 0.500], [0.432, 0.291, 0.500], [0.500, 0.000, 0.500], [0.568, 0.709, 0.500], [0.709, 0.432, 0.500], [0.791, 0.932, 0.500], [0.932, 0.209, 0.500]], "space_group": "P4/mbm (127)"}

=====

Entry 6:
{"formula": "HfGe2Ru", "functional": "PBE", "state": "relaxed", "lattice_angstrom": [[6.450, 0.000, 0.000], [0.000, 6.450, 0.000], [0.000, 0.000, 6.450]], "species": ["Hf", "Hf", "Hf", "Hf", "Ge", "Ge", "Ge", "Ge", "Ge", "Ge", "Ge", "Ge", "Ru", "Ru", "Ru", "Ru"], "frac_coords": [[0.000, 0.000, 0.000], [0.000, 0.500, 0.500], [0.500, 0.000, 0.500], [0.500, 0.500, 0.000], [0.250, 0.250, 0.250], [0.250, 0.250, 0.750], [0.250, 0.750, 0.250], [0.250, 0.750, 0.750], [0.750, 0.250, 0.250], [0.750, 0.250, 0.750], [0.750, 0.750, 0.250], [0.750, 0.750, 0.750], [0.000, 0.000, 0.500], [0.000, 0.500, 0.000], [0.500, 0.000, 0.000], [0.500, 0.500, 0.500]], "space_group": "Fm-3m (225)"}

=====

| no. | calculated density (g/cm3) | formation energy from the elements (eV per atom) | size of the total moment (μB/atom) |
| --- | --- | --- | --- |
| 1 | 9.394 | 1.261 | 0.00 |
| 2 | 10.895 | -0.878 | 0.00 |
| 3 | 11.036 | -0.903 | 0.00 |
| 4 | 9.880 | -0.531 | 0.00 |
| 5 | 11.319 | -0.908 | 0.00 |
| 6 | 10.515 | -0.189 | 0.03 |